This record from the Alexandria database describes a geometry-optimized ScMn2Os structure. The functional is PBE-GGA.

Cell: 2.8197 2.8197 7.0469 Å, 90.00 90.00 90.00°
Closest atoms and distances in Å follow each position.
Atoms (fractional coordinates):
Sc 0.0000 0.0000 0.0000  4 Sc 2.82, 4 Mn 2.85, 4 Os 2.92
Mn 0.0000 0.0000 0.4614  4 Mn 2.33, 4 Os 2.59
Mn 0.5000 0.5000 0.2899  4 Mn 2.33
Os 0.5000 0.5000 0.6964  5 Mn 2.59-2.86, 4 Os 2.82

Results
- DOS(E_F) (states/eV/f.u.) = 5.6
- formation energy (meV per atom) = 85
- relative energy among the computed polymorphs (meV per atom) = 39